# TbInCu3 | Alexandria via LeMat-Bulk | PBE | optimized geometry
data_TbInCu3
_symmetry_space_group_name_H-M 'C m c m'
_symmetry_Int_Tables_number 63
_symmetry_space_group_name_Hall '-C 2c 2'
_cell_length_a 3.6280
_cell_length_b 24.7156
_cell_length_c 4.1372
_cell_angle_alpha 90.00
_cell_angle_beta 90.00
_cell_angle_gamma 90.00
loop_
_atom_site_label
_atom_site_type_symbol
_atom_site_fract_x
_atom_site_fract_y
_atom_site_fract_z
_atom_site_occupancy
Tb1 Tb 0.0000 0.0763 0.2500 1
In1 In 0.0000 0.2073 0.7500 1
Cu1 Cu 0.0000 0.3190 0.7500 1
Cu2 Cu 0.0000 0.3752 0.2500 1
Cu3 Cu 0.0000 0.4739 0.2500 1
# Volume = 18.55 Å³ per atom
# Total magnetization = 0.00 μB per formula unit
# DFT total energy = -4.074 eV/atom